Entry from the Alexandria database: an optimized crystal structure of TlV2Sb2O7 (PBE+U).

Cell: 5.8421 5.8421 8.9783 Å, 71.01 71.01 60.00°
Site moments in Bohr magnetons follow the coordinates.
Positions (direct):
O1 0.0000 0.0000 0.0000  -0.12
O2 0.0039 0.5603 0.2859  -0.03
O3 0.5603 0.1500 0.2859  -0.03
O4 0.9961 0.8500 0.7141  -0.03
V1 0.0739 0.0739 0.7783  1.53
O5 0.8500 0.4397 0.7141  -0.03
O6 0.1500 0.0039 0.2859  -0.03
Sb1 0.7202 0.7202 0.8395  0.03
O7 0.4397 0.9961 0.7141  -0.03
Tl1 0.5000 0.5000 0.5000  0.00
Sb2 0.2798 0.2798 0.1605  0.03
V2 0.9261 0.9261 0.2217  1.53

## Properties
The total energy is -6.500 eV per atom.